The following is a DFT calculation (meta-GGA SCAN) of a crystal of Sr2ZnSe relaxed with PBEsol.

a b c (Å): 8.2686 8.2686 8.2686
angles (deg): 30.14 30.14 30.14
Closest atoms and distances in Å follow each position.
Fractional positions:
Sr 0.2434 0.2434 0.2434  3 Se 3.07, 3 Zn 3.27
Sr 0.7566 0.7566 0.7566  3 Se 3.07, 3 Zn 3.27
Zn 0.0000 0.0000 0.0000  6 Sr 3.27
Se 0.5000 0.5000 0.5000  6 Sr 3.07

uncorrected energy	-82.5	eV per cell
E above lowest polymorph	0.0	kJ per mole of atoms
energy relative to the elements, uncorrected	-1081	meV/atom
N(E_F)	0.560	states/eV/atom



The following is a DFT calculation (meta-GGA SCAN) of a crystal of Ca2ScOs relaxed with PBEsol.

a b c (Å): 3.7525 3.7525 6.5050
angles (deg): 90.00 90.00 90.00
Closest atoms and distances in Å follow each position.
Fractional positions:
Ca 0.0000 0.0000 0.2150  1 Ca 2.80, 4 Os 3.00
Ca 0.0000 0.0000 0.7850  1 Ca 2.80, 4 Os 3.00
Sc 0.5000 0.5000 0.5000  8 Ca 3.24, 2 Os 3.25
Os 0.5000 0.5000 0.0000  8 Ca 3.00, 2 Sc 3.25

uncorrected energy	-103.3	eV per cell
E above lowest polymorph	48.4	kJ per mole of atoms
N(E_F)	0.698	states/eV/atom
DFT formation energy	0.53	eV/atom